# 1
Compound: NaBi2Pd
Source: Alexandria via LeMat-Bulk
Functional: PBEsol
Structure: relaxed

Cell: 7.129 7.129 7.129 Å, 90.00 90.00 90.00°
Space group Fm-3m (No. 225)
Inequivalent atoms, fractional coordinates:
Na1 0.000 0.000 0.000 x4
Bi1 0.250 0.250 0.250 x8
Pd1 0.000 0.000 0.500 x4

Properties
**ΔH_f (0 K)**: -0.22 eV per atom



# 2
Compound: NaBi2Pd2
Source: Alexandria via LeMat-Bulk
Functional: PBEsol
Structure: relaxed

Cell: 4.680 4.680 11.540 Å, 90.00 90.00 90.00°
Space group I4/mmm (No. 139)
Inequivalent atoms, fractional coordinates:
Na1 0.000 0.000 0.000 x2
Bi1 0.000 0.000 0.366 x4
Pd1 0.000 0.500 0.250 x4

Properties
**Offset from the most stable computed form**: 26.8 meV/atom
**ΔH_f (0 K)**: -0.21 eV per atom



# 3
Compound: NaBi2Pd2
Source: Alexandria via LeMat-Bulk
Functional: PBEsol
Structure: relaxed

Cell: 8.213 8.213 3.274 Å, 90.00 90.00 90.00°
Space group P4/mbm (No. 127)
Inequivalent atoms, fractional coordinates:
Na1 0.000 0.000 0.000 x2
Bi1 0.153 0.347 0.000 x4
Pd1 0.138 0.638 0.500 x4

Properties
**Offset from the most stable computed form**: 0.0 meV/atom
**ΔH_f (0 K)**: -0.24 eV per atom



# 4
Compound: NaBi2Pt2
Source: Alexandria via LeMat-Bulk
Functional: PBEsol
Structure: relaxed

Cell: 4.816 4.816 11.260 Å, 90.00 90.00 90.00°
Space group I4/mmm (No. 139)
Inequivalent atoms, fractional coordinates:
Na1 0.000 0.000 0.000 x2
Bi1 0.000 0.000 0.360 x4
Pt1 0.000 0.500 0.250 x4

Properties
**Offset from the most stable computed form**: 84.8 meV/atom
**ΔH_f (0 K)**: -0.11 eV per atom



Question: Which of these has the lowest ΔH_f (0 K)?
Answer: number 3